(1)
# RbTePd2

A relaxed structure of RbTePd2 (PBE, Alexandria).

## Properties
As for the volume: 33.1 Å³/atom. As for the final energy: -4.0196 eV per atom. As for the formation energy without anion corrections: -396 meV per atom.

a b c (Å): 5.5269 5.5269 17.3529
angles (deg): 90.00 90.00 90.00
Positions (direct):
Rb 0.0000 0.2500 0.3750
Rb 0.0000 0.7500 0.6250
Rb 0.5000 0.2500 0.1250
Rb 0.5000 0.7500 0.8750
Te 0.0000 0.2500 0.8750
Te 0.0000 0.7500 0.1250
Te 0.5000 0.2500 0.6250
Te 0.5000 0.7500 0.3750
Pd 0.0000 0.0000 0.0000
Pd 0.0000 0.5000 0.0000
Pd 0.2500 0.2500 0.7500
Pd 0.2500 0.7500 0.2500
Pd 0.5000 0.0000 0.5000
Pd 0.5000 0.5000 0.5000
Pd 0.7500 0.2500 0.7500
Pd 0.7500 0.7500 0.2500

---

(2)
# RbTe2Pd2

A relaxed structure of RbTe2Pd2 (PBE, Alexandria).

## Properties
As for the volume: 28.0 Å³/atom. The calculation puts the energy above the most stable polymorph in this dataset at 16 meV per atom. As for the final energy: -4.0412 eV per atom. As for the formation energy without anion corrections: -514 meV per atom.

a b c (Å): 4.6186 4.6186 13.1033
angles (deg): 90.00 90.00 90.00
Positions (direct):
Rb 0.0000 0.0000 0.0000
Rb 0.5000 0.5000 0.5000
Te 0.0000 0.0000 0.3567
Te 0.0000 0.0000 0.6433
Te 0.5000 0.5000 0.1433
Te 0.5000 0.5000 0.8567
Pd 0.0000 0.5000 0.2500
Pd 0.0000 0.5000 0.7500
Pd 0.5000 0.0000 0.2500
Pd 0.5000 0.0000 0.7500

---

(3)
# Rb2TePd2

A relaxed structure of Rb2TePd2 (PBE, Alexandria).

## Properties
As for the volume: 28.6 Å³/atom. The calculation puts the energy above the most stable polymorph in this dataset at 0 meV per atom. As for the final energy: -3.3697 eV per atom. As for the formation energy without anion corrections: -277 meV per atom.

a b c (Å): 7.1743 7.1743 5.5510
angles (deg): 90.00 90.00 90.00
Positions (direct):
Rb 0.1759 0.3241 0.0000
Rb 0.3241 0.8241 0.0000
Rb 0.6759 0.1759 0.0000
Rb 0.8241 0.6759 0.0000
Te 0.0000 0.0000 0.5000
Te 0.5000 0.5000 0.5000
Pd 0.1432 0.6432 0.5000
Pd 0.3568 0.1432 0.5000
Pd 0.6432 0.8568 0.5000
Pd 0.8568 0.3568 0.5000

---

(4)
# RbTe2Pd3

A relaxed structure of RbTe2Pd3 (PBE, Alexandria).

## Properties
As for the volume: 25.7 Å³/atom. As for the final energy: -4.2779 eV per atom. As for the formation energy without anion corrections: -473 meV per atom.

a b c (Å): 8.4039 8.4039 9.6180
angles (deg): 110.99 110.99 29.31
Positions (direct):
Rb 0.1480 0.1480 0.0579
Rb 0.8520 0.8520 0.9421
Te 0.1884 0.1884 0.6648
Te 0.4802 0.4802 0.7844
Te 0.5198 0.5198 0.2156
Te 0.8116 0.8116 0.3352
Pd 0.0505 0.0505 0.3930
Pd 0.3170 0.3170 0.5616
Pd 0.4171 0.4171 0.3764
Pd 0.5829 0.5829 0.6236
Pd 0.6830 0.6830 0.4384
Pd 0.9495 0.9495 0.6070

---

(5)
# RbTe3Pd

A relaxed structure of RbTe3Pd (PBE, Alexandria).

## Properties
As for the volume: 47.6 Å³/atom. As for the final energy: -1.7889 eV per atom. As for the formation energy without anion corrections: 1328 meV per atom.

a b c (Å): 6.1970 6.1970 6.1970
angles (deg): 90.00 90.00 90.00
Positions (direct):
Rb 0.0000 0.0000 0.0000
Te 0.0000 0.0000 0.5000
Te 0.0000 0.5000 0.0000
Te 0.5000 0.0000 0.0000
Pd 0.5000 0.5000 0.5000

---

(6)
# RbTe2Pd2

A relaxed structure of RbTe2Pd2 (PBE, Alexandria).

## Properties
As for the volume: 24.4 Å³/atom. The calculation puts the energy above the most stable polymorph in this dataset at 250 meV per atom. As for the final energy: -3.8077 eV per atom. As for the formation energy without anion corrections: -280 meV per atom.

a b c (Å): 8.6030 8.6030 3.2951
angles (deg): 90.00 90.00 90.00
Positions (direct):
Rb 0.0000 0.0000 0.0000
Rb 0.5000 0.5000 0.0000
Te 0.1577 0.3423 0.5000
Te 0.3423 0.8423 0.5000
Te 0.6577 0.1577 0.5000
Te 0.8423 0.6577 0.5000
Pd 0.1174 0.6174 0.0000
Pd 0.3826 0.1174 0.0000
Pd 0.6174 0.8826 0.0000
Pd 0.8826 0.3826 0.0000

---

(7)
# RbTe2Pd2

A relaxed structure of RbTe2Pd2 (PBE, Alexandria).

## Properties
As for the volume: 29.1 Å³/atom. The calculation puts the energy above the most stable polymorph in this dataset at 0 meV per atom. As for the final energy: -4.0572 eV per atom. As for the formation energy without anion corrections: -530 meV per atom.

a b c (Å): 7.0659 7.0758 7.5465
angles (deg): 103.99 104.35 118.46
Positions (direct):
Rb 0.1210 0.3706 0.2500
Rb 0.8790 0.6294 0.7500
Te 0.2121 0.3194 0.7908
Te 0.4722 0.0797 0.2911
Te 0.5278 0.9203 0.7089
Te 0.7879 0.6806 0.2092
Pd 0.2143 0.0007 0.5242
Pd 0.4785 0.1913 0.9762
Pd 0.5215 0.8087 0.0238
Pd 0.7857 0.9993 0.4758

---

(8)
# Rb2TePd

A relaxed structure of Rb2TePd (PBE, Alexandria).

## Properties
As for the volume: 35.9 Å³/atom. As for the final energy: -2.5731 eV per atom. As for the formation energy without anion corrections: -6 meV per atom.

a b c (Å): 5.0136 5.0136 22.8736
angles (deg): 90.00 90.00 90.00
Positions (direct):
Rb 0.2265 0.2500 0.1250
Rb 0.2500 0.7265 0.3750
Rb 0.2500 0.7735 0.8750
Rb 0.2735 0.2500 0.6250
Rb 0.7265 0.7500 0.6250
Rb 0.7500 0.2265 0.8750
Rb 0.7500 0.2735 0.3750
Rb 0.7735 0.7500 0.1250
Te 0.0000 0.0000 0.5000
Te 0.0000 0.5000 0.7500
Te 0.5000 0.0000 0.2500
Te 0.5000 0.5000 0.0000
Pd 0.0000 0.0000 0.0000
Pd 0.0000 0.5000 0.2500
Pd 0.5000 0.0000 0.7500
Pd 0.5000 0.5000 0.5000

---

(9)
# RbU3Te6Pd2

A relaxed structure of RbU3Te6Pd2 (PBE, Alexandria).

## Properties
As for the volume: 34.6 Å³/atom. As for the final energy: -5.8680 eV per atom. As for the formation energy without anion corrections: -529 meV per atom.

a b c (Å): 10.1306 10.1306 9.2468
angles (deg): 102.60 102.60 26.67
Positions (direct):
Rb 0.0000 0.0000 0.0000
U 0.0000 0.0000 0.5000
U 0.3482 0.3482 0.1475
U 0.6518 0.6518 0.8525
Te 0.1548 0.1548 0.6343
Te 0.1865 0.1865 0.1001
Te 0.4850 0.4850 0.7141
Te 0.5150 0.5150 0.2859
Te 0.8135 0.8135 0.8999
Te 0.8452 0.8452 0.3657
Pd 0.3726 0.3726 0.8602
Pd 0.6274 0.6274 0.1398

---

(10)
# Rb2UTe4Pd2

A relaxed structure of Rb2UTe4Pd2 (PBE, Alexandria).

## Properties
As for the volume: 31.8 Å³/atom. As for the final energy: -4.7584 eV per atom. As for the formation energy without anion corrections: -739 meV per atom.

a b c (Å): 8.1873 8.1873 8.7558
angles (deg): 107.15 107.15 30.85
Positions (direct):
Rb 0.1358 0.1358 0.0716
Rb 0.8642 0.8642 0.9284
U 0.0000 0.0000 0.5000
Te 0.1956 0.1956 0.6749
Te 0.4874 0.4874 0.7361
Te 0.5126 0.5126 0.2639
Te 0.8044 0.8044 0.3251
Pd 0.3219 0.3219 0.5128
Pd 0.6781 0.6781 0.4872

---

(11)
# Rb4U3Te8Pd

A relaxed structure of Rb4U3Te8Pd (PBE, Alexandria).

## Properties
As for the volume: 37.0 Å³/atom. As for the final energy: -5.0013 eV per atom. As for the formation energy without anion corrections: -747 meV per atom.

a b c (Å): 8.9386 8.9386 9.9896
angles (deg): 116.60 116.60 59.92
Positions (direct):
Rb 0.0000 0.0000 0.0000
Rb 0.0000 0.5000 0.0000
Rb 0.5000 0.0000 0.0000
Rb 0.5000 0.5000 0.0000
U 0.0000 0.0000 0.5000
U 0.0000 0.5000 0.5000
U 0.5000 0.0000 0.5000
Te 0.2349 0.2349 0.7048
Te 0.2393 0.7259 0.6913
Te 0.2729 0.2729 0.3078
Te 0.2741 0.7607 0.3087
Te 0.7259 0.2393 0.6913
Te 0.7271 0.7271 0.6922
Te 0.7607 0.2741 0.3087
Te 0.7651 0.7651 0.2952
Pd 0.5000 0.5000 0.5000

---

(12)
# RbUTe4Pd

A relaxed structure of RbUTe4Pd (PBE, Alexandria).

## Properties
As for the volume: 33.1 Å³/atom. As for the final energy: -4.8779 eV per atom. As for the formation energy without anion corrections: -590 meV per atom.

a b c (Å): 7.6254 6.2235 10.2630
angles (deg): 90.00 108.16 90.00
Positions (direct):
Rb 0.2193 0.2500 0.0543
Rb 0.7807 0.7500 0.9457
U 0.2759 0.2500 0.5552
U 0.7241 0.7500 0.4448
Te 0.0209 0.5046 0.6944
Te 0.0209 0.9954 0.6944
Te 0.4300 0.7500 0.5944
Te 0.4720 0.7500 0.1593
Te 0.5280 0.2500 0.8407
Te 0.5700 0.2500 0.4056
Te 0.9791 0.0046 0.3056
Te 0.9791 0.4954 0.3056
Pd 0.2692 0.7500 0.3274
Pd 0.7308 0.2500 0.6726

---

(13)
# RbUTe4Pd2

A relaxed structure of RbUTe4Pd2 (PBE, Alexandria).

## Properties
As for the volume: 29.7 Å³/atom. As for the final energy: -4.7376 eV per atom. As for the formation energy without anion corrections: -337 meV per atom.

a b c (Å): 6.4952 8.2265 8.9077
angles (deg): 90.00 90.00 90.00
Positions (direct):
Rb 0.0000 0.0000 0.0000
Rb 0.5000 0.5000 0.5000
U 0.0000 0.0000 0.5000
U 0.5000 0.5000 0.0000
Te 0.2049 0.2380 0.2818
Te 0.2049 0.7620 0.7182
Te 0.2951 0.2620 0.7818
Te 0.2951 0.7380 0.2182
Te 0.7049 0.2620 0.2182
Te 0.7049 0.7380 0.7818
Te 0.7951 0.2380 0.7182
Te 0.7951 0.7620 0.2818
Pd 0.0000 0.5000 0.1629
Pd 0.0000 0.5000 0.8371
Pd 0.5000 0.0000 0.3371
Pd 0.5000 0.0000 0.6629

---

(14)
# Rb3U3Te8Pd

A relaxed structure of Rb3U3Te8Pd (PBE, Alexandria).

## Properties
As for the volume: 38.6 Å³/atom. As for the final energy: -5.1814 eV per atom. As for the formation energy without anion corrections: -708 meV per atom.

a b c (Å): 8.6774 8.6774 10.1625
angles (deg): 115.07 115.07 60.32
Positions (direct):
Rb 0.0000 0.0000 0.0000
Rb 0.0000 0.5000 0.0000
Rb 0.5000 0.0000 0.0000
U 0.0000 0.5000 0.5000
U 0.5000 0.0000 0.5000
U 0.5000 0.5000 0.5000
Te 0.2190 0.2190 0.6864
Te 0.2257 0.7395 0.6913
Te 0.2605 0.7743 0.3087
Te 0.2648 0.2648 0.2947
Te 0.7352 0.7352 0.7053
Te 0.7395 0.2257 0.6913
Te 0.7743 0.2605 0.3087
Te 0.7810 0.7810 0.3136
Pd 0.0000 0.0000 0.5000

---

(15)
# RbV2TePd

A relaxed structure of RbV2TePd (PBE, Alexandria).

## Properties
As for the volume: 32.5 Å³/atom. As for the final energy: -3.2373 eV per atom. As for the formation energy without anion corrections: 2271 meV per atom.

a b c (Å): 5.1882 5.1882 6.0306
angles (deg): 90.00 90.00 90.00
Positions (direct):
Rb 0.0000 0.0000 0.0000
V 0.0000 0.5000 0.0000
V 0.5000 0.0000 0.0000
Te 0.0000 0.0000 0.5000
Pd 0.5000 0.5000 0.5000

---

(16)
# RbZr3Te6Pd2

A relaxed structure of RbZr3Te6Pd2 (PBE, Alexandria).

## Properties
As for the volume: 29.9 Å³/atom. As for the final energy: -5.3121 eV per atom. As for the formation energy without anion corrections: -658 meV per atom.

a b c (Å): 9.8077 9.8077 9.2736
angles (deg): 107.86 107.86 25.10
Positions (direct):
Rb 0.0000 0.0000 0.0000
Zr 0.0000 0.0000 0.5000
Zr 0.3602 0.3602 0.1709
Zr 0.6398 0.6398 0.8291
Te 0.1598 0.1598 0.6274
Te 0.1926 0.1926 0.0762
Te 0.4765 0.4765 0.7024
Te 0.5235 0.5235 0.2976
Te 0.8074 0.8074 0.9238
Te 0.8402 0.8402 0.3726
Pd 0.3678 0.3678 0.8505
Pd 0.6322 0.6322 0.1495

---

(17)
# Rb3Zr3Te8Pd

A relaxed structure of Rb3Zr3Te8Pd (PBE, Alexandria).

## Properties
As for the volume: 35.4 Å³/atom. As for the final energy: -4.7657 eV per atom. As for the formation energy without anion corrections: -841 meV per atom.

a b c (Å): 8.5572 8.5572 10.1934
angles (deg): 117.35 117.35 56.45
Positions (direct):
Rb 0.0000 0.0000 0.0000
Rb 0.0000 0.5000 0.0000
Rb 0.5000 0.0000 0.0000
Zr 0.0000 0.5000 0.5000
Zr 0.5000 0.0000 0.5000
Zr 0.5000 0.5000 0.5000
Te 0.2116 0.7504 0.6759
Te 0.2496 0.7884 0.3241
Te 0.2689 0.2689 0.3040
Te 0.2763 0.2763 0.7195
Te 0.7237 0.7237 0.2805
Te 0.7311 0.7311 0.6960
Te 0.7504 0.2116 0.6759
Te 0.7884 0.2496 0.3241
Pd 0.0000 0.0000 0.5000

---

(18)
# RbTiPd3

A relaxed structure of RbTiPd3 (PBE, Alexandria).

## Properties
The formation energy is 0.288 eV/atom. As for the volume: 23.5 Å³/atom. As for the final energy: -4.6006 eV per atom.

a b c (Å): 4.8997 4.8997 4.8997
angles (deg): 90.00 90.00 90.00
Positions (direct):
Rb 0.0000 0.0000 0.0000
Ti 0.5000 0.5000 0.5000
Pd 0.0000 0.5000 0.5000
Pd 0.5000 0.0000 0.5000
Pd 0.5000 0.5000 0.0000

---

(19)
# RbTi3Pd

A relaxed structure of RbTi3Pd (PBE, Alexandria).

## Properties
The formation energy is 0.837 eV/atom. As for the volume: 25.0 Å³/atom. The calculation puts the energy above the most stable polymorph in this dataset at 0 meV per atom. As for the final energy: -5.1324 eV per atom.

a b c (Å): 4.9986 4.9986 4.9986
angles (deg): 90.00 90.00 90.00
Positions (direct):
Rb 0.0000 0.0000 0.0000
Ti 0.0000 0.5000 0.5000
Ti 0.5000 0.0000 0.5000
Ti 0.5000 0.5000 0.0000
Pd 0.5000 0.5000 0.5000

---

(20)
# RbTiPd2

A relaxed structure of RbTiPd2 (PBE, Alexandria).

## Properties
The formation energy is 0.500 eV/atom. As for the volume: 20.6 Å³/atom. The calculation puts the energy above the most stable polymorph in this dataset at 153 meV per atom. As for the final energy: -4.3118 eV per atom.

a b c (Å): 6.9060 6.9060 6.9060
angles (deg): 90.00 90.00 90.00
Positions (direct):
Rb 0.0000 0.0000 0.0000
Rb 0.0000 0.5000 0.5000
Rb 0.5000 0.0000 0.5000
Rb 0.5000 0.5000 0.0000
Ti 0.0000 0.0000 0.5000
Ti 0.0000 0.5000 0.0000
Ti 0.5000 0.0000 0.0000
Ti 0.5000 0.5000 0.5000
Pd 0.2500 0.2500 0.2500
Pd 0.2500 0.2500 0.7500
Pd 0.2500 0.7500 0.2500
Pd 0.2500 0.7500 0.7500
Pd 0.7500 0.2500 0.2500
Pd 0.7500 0.2500 0.7500
Pd 0.7500 0.7500 0.2500
Pd 0.7500 0.7500 0.7500